## Pa2ZnAu (PBE)

Data for Pa2ZnAu after structural relaxation.

Computed properties:
The density of states at the Fermi level is 1.92 states/eV/atom. The value obtained for the energy of formation from the pure elements is 0.228 eV/atom. The calculation puts the electronic total energy at -5.658 eV per atom. The calculation puts the total magnetization at 0.884 μB/f.u.

```
Pa2ZnAu
1.0
3.043 0.000 0.000
1.521 2.635 0.000
1.521 0.878 11.224
Pa Au Zn
2 1 1
Cartesian
1.521 0.878 8.164
4.564 2.635 3.060
0.000 0.000 0.000
3.043 1.757 5.612
```